Density functional theory data (PBE) for an optimized crystal structure of Tb2NbAg.

Properties
SG	P4/mmm
energy	-5.5025	eV per atom

Structure (POSCAR):
```
Tb2NbAg
1.0
3.362 0.000 0.000
0.000 3.362 0.000
0.000 0.000 8.499
Nb Tb Ag
1 2 1
Direct
0.500 0.500 0.000 Nb
0.000 0.000 0.749 Tb
0.000 0.000 0.251 Tb
0.500 0.500 0.500 Ag
```



Density functional theory data (PBE) for an optimized crystal structure of NbTcAg3.

Properties
SG	Pm-3m
energy	-3.8699	eV per atom

Structure (POSCAR):
```
NbTcAg3
1.0
-2.899 3.440 1.912
-3.866 -2.935 -0.580
0.740 -1.856 4.461
Nb Tc Ag
1 1 3
Direct
0.500 0.500 0.500 Nb
0.000 0.000 0.000 Tc
0.000 0.500 0.000 Ag
0.000 0.000 0.500 Ag
0.500 0.000 0.000 Ag
```



Density functional theory data (PBE) for an optimized crystal structure of NbTcAg3.

Properties
SG	Pm-3m
energy	-3.7639	eV per atom

Structure (POSCAR):
```
NbTcAg3
1.0
-3.179 1.764 3.537
-2.436 -4.449 0.029
3.113 -1.680 3.636
Nb Tc Ag
1 1 3
Direct
0.000 0.000 0.000 Nb
0.500 0.500 0.500 Tc
0.000 0.500 0.000 Ag
0.000 0.000 0.500 Ag
0.500 0.000 0.000 Ag
```



Density functional theory data (PBE) for an optimized crystal structure of NbAg3Te4.

Properties
SG	P-43m
energy	-4.1575	eV per atom

Structure (POSCAR):
```
NbAg3Te4
1.0
-5.113 -0.573 3.931
3.972 -0.617 5.077
-0.075 6.420 0.839
Nb Te Ag
1 4 3
Direct
0.000 0.000 0.000 Nb
0.242 0.242 0.242 Te
0.758 0.758 0.242 Te
0.242 0.758 0.758 Te
0.758 0.242 0.758 Te
0.000 0.500 0.000 Ag
0.000 0.000 0.500 Ag
0.500 0.000 0.000 Ag
```



Density functional theory data (PBE) for an optimized crystal structure of NbAgTe.

Properties
SG	R-3m
energy	-5.1996	eV per atom

Structure (POSCAR):
```
NbAgTe
1.0
-2.450 0.144 3.371
-2.522 -3.201 0.882
5.603 -5.236 6.876
Te Nb Ag
2 2 2
Direct
0.594 0.594 0.218 Te
0.406 0.406 0.782 Te
0.309 0.309 0.073 Nb
0.691 0.691 0.927 Nb
0.858 0.858 0.426 Ag
0.142 0.142 0.574 Ag
```



Density functional theory data (PBE) for an optimized crystal structure of Nb2AgTe4.

Properties
SG	Cm
energy	-5.3153	eV per atom

Structure (POSCAR):
```
Nb2AgTe4
1.0
7.788 0.276 -0.474
-0.339 8.568 -0.070
-3.848 -4.672 6.074
Nb Ag Te
4 2 8
Direct
0.555 0.382 0.748 Nb
0.555 0.807 0.172 Nb
0.729 0.387 0.342 Nb
0.166 0.401 0.765 Nb
0.288 0.799 0.489 Ag
0.951 0.008 0.942 Ag
0.887 0.092 0.273 Te
0.403 0.570 0.232 Te
0.887 0.614 0.795 Te
0.830 0.138 0.691 Te
0.399 0.133 0.265 Te
0.403 0.170 0.833 Te
0.348 0.633 0.715 Te
0.853 0.615 0.237 Te
```



Density functional theory data (PBE) for an optimized crystal structure of NbAg3Te4.

Properties
SG	Pmn2_1
energy	-4.0180	eV per atom

Structure (POSCAR):
```
NbAg3Te4
1.0
-4.942 5.292 -2.086
-5.869 -4.969 1.297
-0.533 2.838 8.462
Nb Ag Te
2 6 8
Direct
0.007 0.173 0.000 Nb
0.507 0.827 0.500 Nb
0.498 0.845 0.000 Ag
0.993 0.672 0.249 Ag
0.493 0.328 0.251 Ag
0.998 0.155 0.500 Ag
0.493 0.328 0.749 Ag
0.993 0.672 0.751 Ag
0.125 0.854 0.000 Te
0.657 0.174 0.000 Te
0.122 0.332 0.244 Te
0.622 0.668 0.256 Te
0.157 0.826 0.500 Te
0.625 0.146 0.500 Te
0.622 0.668 0.744 Te
0.122 0.332 0.756 Te
```



Density functional theory data (PBE) for an optimized crystal structure of Nb3AgTe.

Properties
SG	Pm-3m
energy	-5.7639	eV per atom

Structure (POSCAR):
```
Nb3AgTe
1.0
5.033 0.000 0.000
0.000 5.033 0.000
0.000 0.000 5.033
Nb Te Ag
3 1 1
Direct
0.000 0.500 0.000 Nb
0.000 0.000 0.500 Nb
0.500 0.000 0.000 Nb
0.000 0.000 0.000 Te
0.500 0.500 0.500 Ag
```



Density functional theory data (PBE) for an optimized crystal structure of Nb3AgTe.

Properties
SG	Pm-3m
energy	-5.6828	eV per atom

Structure (POSCAR):
```
Nb3AgTe
1.0
-1.605 4.355 1.769
-3.636 0.035 -3.384
-2.979 -2.388 3.176
Nb Te Ag
3 1 1
Direct
0.000 0.500 0.000 Nb
0.000 0.000 0.500 Nb
0.500 0.000 0.000 Nb
0.500 0.500 0.500 Te
0.000 0.000 0.000 Ag
```



Density functional theory data (PBE) for an optimized crystal structure of NbTl3Ag2Te6.

Properties
SG	C2/m
energy	-3.6357	eV per atom

Structure (POSCAR):
```
NbTl3Ag2Te6
1.0
-5.182 1.829 -5.077
3.915 -6.321 -0.831
-4.708 -2.154 5.954
Nb Tl Ag Te
1 3 2 6
Direct
0.000 0.000 0.000 Nb
0.161 0.839 0.500 Tl
0.839 0.161 0.500 Tl
0.500 0.500 0.500 Tl
0.331 0.669 0.000 Ag
0.669 0.331 0.000 Ag
0.935 0.617 0.791 Te
0.746 0.746 0.201 Te
0.065 0.383 0.209 Te
0.617 0.935 0.791 Te
0.254 0.254 0.799 Te
0.383 0.065 0.209 Te
```



Density functional theory data (PBE) for an optimized crystal structure of ThZrNbAg.

Properties
SG	F-43m
energy	-7.1517	eV per atom

Structure (POSCAR):
```
ThZrNbAg
1.0
5.046 0.000 0.000
2.523 4.370 0.000
2.523 1.457 4.120
Zr Nb Ag Th
1 1 1 1
Direct
0.250 0.250 0.250 Zr
0.500 0.500 0.500 Nb
0.000 0.000 0.000 Ag
0.750 0.750 0.750 Th
```



Density functional theory data (PBE) for an optimized crystal structure of TiNbAg.

Properties
SG	R-3m
energy	-6.6607	eV per atom

Structure (POSCAR):
```
TiNbAg
1.0
2.864 0.000 0.000
1.432 2.480 0.000
1.432 0.827 15.352
Nb Ag Ti
2 2 2
Direct
0.695 0.695 0.916 Nb
0.305 0.305 0.084 Nb
0.861 0.861 0.418 Ag
0.139 0.139 0.582 Ag
0.754 0.754 0.739 Ti
0.246 0.246 0.261 Ti
```



Density functional theory data (PBE) for an optimized crystal structure of TiNb2Ag.

Properties
SG	I-42d
energy	-7.1771	eV per atom

Structure (POSCAR):
```
TiNb2Ag
1.0
-2.216 -1.455 2.833
3.182 -0.866 2.044
0.132 7.922 6.830
Nb Ag Ti
4 2 2
Direct
0.615 0.125 0.250 Nb
0.135 0.625 0.250 Nb
0.375 0.385 0.750 Nb
0.875 0.865 0.750 Nb
0.000 0.000 0.000 Ag
0.750 0.250 0.500 Ag
0.500 0.500 0.000 Ti
0.250 0.750 0.500 Ti
```



Density functional theory data (PBE) for an optimized crystal structure of Ti2Nb2Ag.

Properties
SG	P4/mbm
energy	-7.4233	eV per atom

Structure (POSCAR):
```
Ti2Nb2Ag
1.0
7.260 0.000 0.000
0.000 7.260 0.000
0.000 0.000 3.526
Nb Ag Ti
4 2 4
Direct
0.371 0.871 0.000 Nb
0.871 0.629 0.000 Nb
0.629 0.129 0.000 Nb
0.129 0.371 0.000 Nb
0.000 0.000 0.000 Ag
0.500 0.500 0.000 Ag
0.167 0.667 0.500 Ti
0.667 0.833 0.500 Ti
0.833 0.333 0.500 Ti
0.333 0.167 0.500 Ti
```



Density functional theory data (PBE) for an optimized crystal structure of TiNbAg.

Properties
SG	P3m1
energy	-6.7375	eV per atom

Structure (POSCAR):
```
TiNbAg
1.0
2.884 0.000 0.000
-1.442 2.497 0.000
0.000 0.000 7.456
Nb Ag Ti
1 1 1
Direct
0.667 0.333 0.338 Nb
0.000 0.000 0.994 Ag
0.333 0.667 0.669 Ti
```



Density functional theory data (PBE) for an optimized crystal structure of Ti2NbAg.

Properties
SG	Fm-3m
energy	-7.0954	eV per atom

Structure (POSCAR):
```
Ti2NbAg
1.0
0.000 3.244 3.244
3.244 0.000 3.244
3.244 3.244 0.000
Nb Ag Ti
1 1 2
Direct
0.000 0.000 0.000 Nb
0.500 0.500 0.500 Ag
0.250 0.250 0.250 Ti
0.750 0.750 0.750 Ti
```



Density functional theory data (PBE) for an optimized crystal structure of TiNb2Ag.

Properties
SG	Fm-3m
energy	-7.3949	eV per atom

Structure (POSCAR):
```
TiNb2Ag
1.0
0.000 3.285 3.285
3.285 0.000 3.285
3.285 3.285 0.000
Nb Ag Ti
2 1 1
Direct
0.250 0.250 0.250 Nb
0.750 0.750 0.750 Nb
0.500 0.500 0.500 Ag
0.000 0.000 0.000 Ti
```



Density functional theory data (PBE) for an optimized crystal structure of TiNbAg.

Properties
SG	P4/nmm
energy	-6.9812	eV per atom

Structure (POSCAR):
```
TiNbAg
1.0
-0.548 -0.750 -3.174
2.217 -2.446 0.195
-9.192 -3.666 2.454
Ti Nb Ag
2 2 2
Direct
0.347 0.498 0.164 Ti
0.847 0.492 0.660 Ti
0.347 0.828 0.495 Nb
0.847 0.162 0.329 Nb
0.847 0.831 0.997 Ag
0.347 0.159 0.826 Ag
```



Density functional theory data (PBE) for an optimized crystal structure of Ti2NbAg2.

Properties
SG	I4/mmm
energy	-5.9225	eV per atom

Structure (POSCAR):
```
Ti2NbAg2
1.0
3.702 0.000 0.000
0.000 3.702 0.000
1.851 1.851 6.876
Nb Ag Ti
1 2 2
Direct
0.000 0.000 0.000 Nb
0.750 0.250 0.500 Ag
0.250 0.750 0.500 Ag
0.408 0.408 0.184 Ti
0.592 0.592 0.816 Ti
```



Density functional theory data (PBE) for an optimized crystal structure of TiNbAg2.

Properties
SG	Fm-3m
energy	-5.5491	eV per atom

Structure (POSCAR):
```
TiNbAg2
1.0
3.355 0.038 3.236
-0.389 -2.682 3.793
2.773 -3.710 0.526
Nb Ag Ti
1 2 1
Direct
0.500 0.500 0.500 Nb
0.250 0.250 0.250 Ag
0.750 0.750 0.750 Ag
0.000 0.000 0.000 Ti
```